Entry from Alexandria via LeMat-Bulk: a relaxed structure of RbAlIO2 (PBE).

Structure (POSCAR):
```
RbAlIO2
1.0
4.9699 0.0000 0.0000
0.0000 4.9699 0.0000
0.0000 0.0000 7.4811
Rb Al I O
1 1 1 2
Cartesian
0.0000 0.0000 0.0000
2.4850 2.4850 3.7405
0.0000 0.0000 3.7405
0.0000 2.4850 0.0000
2.4850 0.0000 0.0000
```

* energy above the most stable polymorph in this dataset: 1.362 eV/atom
* magnetic moment: 2.880 μB/f.u.

---

Entry from Alexandria via LeMat-Bulk: a relaxed structure of AlReI2O (PBE).

Structure (POSCAR):
```
AlReI2O
1.0
5.6707 0.0000 0.0000
0.0000 5.6707 0.0000
0.0000 0.0000 3.7920
Al Re I O
1 1 2 1
Cartesian
0.0000 0.0000 0.0000
2.8353 2.8353 1.8960
0.0000 2.8353 1.8960
2.8353 0.0000 1.8960
2.8353 2.8353 0.0000
```

* energy above the most stable polymorph in this dataset: 0.000 eV/atom
* magnetic moment: 0.000 μB/f.u.

---

Entry from Alexandria via LeMat-Bulk: a relaxed structure of AlReIO2 (PBE).

Structure (POSCAR):
```
AlReIO2
1.0
3.7456 0.0000 0.0000
0.0000 3.7456 0.0000
0.0000 0.0000 6.2023
Al Re I O
1 1 1 2
Cartesian
0.0000 0.0000 0.0000
1.8728 1.8728 3.1011
0.0000 0.0000 3.1011
0.0000 1.8728 0.0000
1.8728 0.0000 0.0000
```

* energy above the most stable polymorph in this dataset: 0.347 eV/atom
* magnetic moment: 3.649 μB/f.u.

---

Entry from Alexandria via LeMat-Bulk: a relaxed structure of AlReI2O (PBE).

Structure (POSCAR):
```
AlReI2O
1.0
5.4825 0.0000 0.0000
0.0000 5.4825 0.0000
0.0000 0.0000 3.3638
Al Re I O
1 1 2 1
Cartesian
0.0000 0.0000 0.0000
2.7412 2.7412 1.6819
0.0000 2.7412 0.0000
2.7412 0.0000 0.0000
0.0000 0.0000 1.6819
```

* energy above the most stable polymorph in this dataset: 0.310 eV/atom
* magnetic moment: 0.658 μB/f.u.

---

Entry from Alexandria via LeMat-Bulk: a relaxed structure of AlReIO2 (PBE).

Structure (POSCAR):
```
AlReIO2
1.0
3.9255 0.0000 0.0000
0.0000 3.9255 0.0000
0.0000 0.0000 6.2165
Al Re I O
1 1 1 2
Cartesian
0.0000 0.0000 0.0000
1.9628 1.9628 3.1083
1.9628 1.9628 0.0000
0.0000 1.9628 3.1083
1.9628 0.0000 3.1083
```

* energy above the most stable polymorph in this dataset: 0.000 eV/atom
* magnetic moment: 0.392 μB/f.u.

---

Entry from Alexandria via LeMat-Bulk: a relaxed structure of AlRhI2O (PBE).

Structure (POSCAR):
```
AlRhI2O
1.0
5.7292 0.0000 0.0000
0.0000 5.7292 0.0000
0.0000 0.0000 3.7669
Al Rh I O
1 1 2 1
Cartesian
0.0000 0.0000 0.0000
2.8646 2.8646 1.8835
0.0000 2.8646 1.8835
2.8646 0.0000 1.8835
2.8646 2.8646 0.0000
```

* energy above the most stable polymorph in this dataset: 0.279 eV/atom
* magnetic moment: 0.000 μB/f.u.

---

Entry from Alexandria via LeMat-Bulk: a relaxed structure of AlRhIO2 (PBE).

Structure (POSCAR):
```
AlRhIO2
1.0
4.0054 0.0000 0.0000
0.0000 4.0054 0.0000
0.0000 0.0000 5.6246
Al Rh I O
1 1 1 2
Cartesian
0.0000 0.0000 0.0000
2.0027 2.0027 2.8123
2.0027 2.0027 0.0000
0.0000 2.0027 2.8123
2.0027 0.0000 2.8123
```

* energy above the most stable polymorph in this dataset: 0.739 eV/atom
* magnetic moment: 0.891 μB/f.u.

---

Entry from Alexandria via LeMat-Bulk: a relaxed structure of AlRhIO2 (PBE).

Structure (POSCAR):
```
AlRhIO2
1.0
3.6344 0.0000 0.0000
0.0000 3.6344 0.0000
0.0000 0.0000 7.4946
Al Rh I O
1 1 1 2
Cartesian
0.0000 0.0000 0.0000
1.8172 1.8172 3.7473
0.0000 0.0000 3.7473
0.0000 1.8172 0.0000
1.8172 0.0000 0.0000
```

* energy above the most stable polymorph in this dataset: 0.000 eV/atom
* magnetic moment: 0.000 μB/f.u.

---

Entry from Alexandria via LeMat-Bulk: a relaxed structure of AlRhI2O (PBE).

Structure (POSCAR):
```
AlRhI2O
1.0
5.6204 0.0000 0.0000
0.0000 5.6204 0.0000
0.0000 0.0000 3.4163
Al Rh I O
1 1 2 1
Cartesian
0.0000 0.0000 0.0000
2.8102 2.8102 1.7081
0.0000 2.8102 0.0000
2.8102 0.0000 0.0000
0.0000 0.0000 1.7081
```

* energy above the most stable polymorph in this dataset: 0.000 eV/atom
* magnetic moment: 1.499 μB/f.u.

---

Entry from Alexandria via LeMat-Bulk: a relaxed structure of AlRuI2O (PBE).

Structure (POSCAR):
```
AlRuI2O
1.0
5.6509 0.0000 0.0000
0.0000 5.6509 0.0000
0.0000 0.0000 3.7665
Al Ru I O
1 1 2 1
Cartesian
0.0000 0.0000 0.0000
2.8254 2.8254 1.8833
0.0000 2.8254 1.8833
2.8254 0.0000 1.8833
2.8254 2.8254 0.0000
```

* energy above the most stable polymorph in this dataset: 0.049 eV/atom
* magnetic moment: 0.225 μB/f.u.

---

Entry from Alexandria via LeMat-Bulk: a relaxed structure of AlRuI2O (PBE).

Structure (POSCAR):
```
AlRuI2O
1.0
5.6777 0.0000 0.0000
0.0000 5.6777 0.0000
0.0000 0.0000 3.4378
Al Ru I O
1 1 2 1
Cartesian
0.0000 0.0000 0.0000
2.8389 2.8389 1.7189
0.0000 2.8389 0.0000
2.8389 0.0000 0.0000
0.0000 0.0000 1.7189
```

* energy above the most stable polymorph in this dataset: 0.000 eV/atom
* magnetic moment: 2.816 μB/f.u.

---

Entry from Alexandria via LeMat-Bulk: a relaxed structure of AlSIO2 (PBE).

Structure (POSCAR):
```
AlSIO2
1.0
3.9304 0.0000 0.0000
0.0000 3.9304 0.0000
0.0000 0.0000 5.3800
Al S I O
1 1 1 2
Cartesian
0.0000 0.0000 0.0000
1.9652 1.9652 2.6900
1.9652 1.9652 0.0000
0.0000 1.9652 2.6900
1.9652 0.0000 2.6900
```

* magnetic moment: 0.000 μB/f.u.
* energy: -17.67 eV/cell